Arrangement P

The following is a PBE-GGA calculation of a relaxed structure of KLiI2N, from Alexandria.

Output
magnetic moment	3.02	μB/f.u.
crystal system	tetragonal
DOS(E_F)	0.30	states/eV per atom

a = 6.5665 Å, b = 6.5665 Å, c = 5.2897 Å
α = 90.00°, β = 90.00°, γ = 90.00°
Closest atoms and distances in Å follow each position.
Space group P4/mmm (No. 123)
Unique sites:
K 0.0000 0.0000 0.0000 (multiplicity 1)  2 N 2.64
Li 0.5000 0.5000 0.5000 (multiplicity 1)  8 I 4.22, 4 N 4.64
I 0.0000 0.5000 0.0000 (multiplicity 2)  2 K 3.28
N 0.0000 0.0000 0.5000 (multiplicity 1)  2 K 2.64

***

Arrangement Q

The following is a PBE-GGA calculation of a relaxed structure of KLiI2N, from Alexandria.

Output
magnetic moment	3.01	μB/f.u.
crystal system	tetragonal
DOS(E_F)	0.23	states/eV per atom

a = 5.8669 Å, b = 5.8669 Å, c = 4.4781 Å
α = 90.00°, β = 90.00°, γ = 90.00°
Closest atoms and distances in Å follow each position.
Space group P4/mmm (No. 123)
Unique sites:
K 0.0000 0.0000 0.0000 (multiplicity 1)  8 I 3.69
Li 0.5000 0.5000 0.5000 (multiplicity 1)  2 N 2.24
I 0.0000 0.5000 0.5000 (multiplicity 2)  2 Li 2.93
N 0.5000 0.5000 0.0000 (multiplicity 1)  2 Li 2.24

***

Most stable structure: arrangement Q

***

Arrangement P

The following is a PBE-GGA calculation of a relaxed structure of K2LiNdI6, from Alexandria.

Output
magnetic moment	0.00	μB/f.u.
crystal system	cubic
DOS(E_F)	0.00	states/eV per atom

a = 12.1103 Å, b = 12.1103 Å, c = 12.1103 Å
α = 90.00°, β = 90.00°, γ = 90.00°
Closest atoms and distances in Å follow each position.
Space group Fm-3m (No. 225)
Unique sites:
K 0.2500 0.2500 0.2500 (multiplicity 8)  12 I 4.28
Li 0.0000 0.0000 0.0000 (multiplicity 4)  6 I 2.96
Nd 0.0000 0.0000 0.5000 (multiplicity 4)  6 I 3.10
I 0.0000 0.0000 0.2444 (multiplicity 24)  1 Li 2.96, 1 Nd 3.10

***

Arrangement Q

The following is a PBE-GGA calculation of a relaxed structure of K2LiNdI6, from Alexandria.

Output
magnetic moment	0.00	μB/f.u.
crystal system	monoclinic
DOS(E_F)	0.00	states/eV per atom

a = 8.1944 Å, b = 8.6535 Å, c = 14.1995 Å
α = 90.00°, β = 124.42°, γ = 90.00°
Closest atoms and distances in Å follow each position.
Space group P2_1/c (No. 14)
Unique sites:
K 0.2153 0.0856 0.2454 (multiplicity 4)  6 I 3.57-3.76
Li 0.0000 0.0000 0.5000 (multiplicity 2)  6 I 3.01-3.10
Nd 0.5000 0.0000 0.0000 (multiplicity 2)  6 I 3.13-3.14
I 0.1356 0.1978 0.9457 (multiplicity 4)  1 Li 3.10, 1 Nd 3.14
I 0.2550 0.6950 0.9473 (multiplicity 4)  1 Li 3.09, 1 Nd 3.14
I 0.3524 0.0229 0.7436 (multiplicity 4)  1 Li 3.01, 1 Nd 3.13

***

Most stable structure: arrangement Q

***

Arrangement P

The following is a PBE-GGA calculation of a relaxed structure of KLiIO2, from Alexandria.

Output
magnetic moment	3.00	μB/f.u.
crystal system	tetragonal
DOS(E_F)	0.47	states/eV per atom

a = 4.5906 Å, b = 4.5906 Å, c = 5.5276 Å
α = 90.00°, β = 90.00°, γ = 90.00°
Closest atoms and distances in Å follow each position.
Space group P4/mmm (No. 123)
Unique sites:
K 0.0000 0.0000 0.0000 (multiplicity 1)  4 I 3.25, 8 O 3.59
Li 0.5000 0.5000 0.5000 (multiplicity 1)  4 O 2.30
I 0.5000 0.5000 0.0000 (multiplicity 1)  2 Li 2.76
O 0.0000 0.5000 0.5000 (multiplicity 2)  2 Li 2.30

***

Arrangement Q

The following is a PBE-GGA calculation of a relaxed structure of KLiIO2, from Alexandria.

Output
magnetic moment	3.00	μB/f.u.
crystal system	tetragonal
DOS(E_F)	0.61	states/eV per atom

a = 4.4499 Å, b = 4.4499 Å, c = 5.5801 Å
α = 90.00°, β = 90.00°, γ = 90.00°
Closest atoms and distances in Å follow each position.
Space group P4/mmm (No. 123)
Unique sites:
K 0.0000 0.0000 0.0000 (multiplicity 1)  2 Li 2.79
Li 0.0000 0.0000 0.5000 (multiplicity 1)  4 O 2.22
I 0.5000 0.5000 0.0000 (multiplicity 1)  4 K 3.15
O 0.0000 0.5000 0.5000 (multiplicity 2)  2 Li 2.22

***

Arrangement R

The following is a PBE-GGA calculation of a relaxed structure of KLiIO2, from Alexandria.

Output
magnetic moment	3.01	μB/f.u.
crystal system	tetragonal
DOS(E_F)	1.45	states/eV per atom

a = 4.8502 Å, b = 4.8502 Å, c = 7.2083 Å
α = 90.00°, β = 90.00°, γ = 90.00°
Closest atoms and distances in Å follow each position.
Space group P4/mmm (No. 123)
Unique sites:
K 0.0000 0.0000 0.0000 (multiplicity 1)  4 O 2.43
Li 0.5000 0.5000 0.5000 (multiplicity 1)  4 I 3.43
I 0.0000 0.0000 0.5000 (multiplicity 1)  4 Li 3.43, 2 K 3.60
O 0.0000 0.5000 0.0000 (multiplicity 2)  2 K 2.43

***

Most stable structure: arrangement P

***

Arrangement P

The following is a PBE-GGA calculation of a relaxed structure of KLiSb2I, from Alexandria.

Output
magnetic moment	2.77	μB/f.u.
crystal system	tetragonal
DOS(E_F)	0.83	states/eV per atom

a = 6.2222 Å, b = 6.2222 Å, c = 6.5021 Å
α = 90.00°, β = 90.00°, γ = 90.00°
Closest atoms and distances in Å follow each position.
Space group P4/mmm (No. 123)
Unique sites:
K 0.0000 0.0000 0.0000 (multiplicity 1)  4 Sb 3.11, 2 I 3.25
Li 0.5000 0.5000 0.5000 (multiplicity 1)  4 I 4.40, 8 Sb 4.50
Sb 0.0000 0.5000 0.0000 (multiplicity 2)  2 K 3.11
I 0.0000 0.0000 0.5000 (multiplicity 1)  2 K 3.25

***

Arrangement Q

The following is a PBE-GGA calculation of a relaxed structure of KLiSb2I, from Alexandria.

Output
magnetic moment	0.00	μB/f.u.
crystal system	tetragonal
DOS(E_F)	0.66	states/eV per atom

a = 4.9812 Å, b = 4.9812 Å, c = 6.9916 Å
α = 90.00°, β = 90.00°, γ = 90.00°
Closest atoms and distances in Å follow each position.
Space group P4/mmm (No. 123)
Unique sites:
K 0.0000 0.0000 0.0000 (multiplicity 1)  4 I 3.52
Li 0.5000 0.5000 0.5000 (multiplicity 1)  4 Sb 2.49
Sb 0.0000 0.5000 0.5000 (multiplicity 2)  2 Li 2.49
I 0.5000 0.5000 0.0000 (multiplicity 1)  2 Li 3.50, 4 K 3.52

***

Most stable structure: arrangement Q

***

Arrangement P

The following is a PBE-GGA calculation of a relaxed structure of K2LiSbI6, from Alexandria.

Output
magnetic moment	0.00	μB/f.u.
crystal system	cubic
DOS(E_F)	0.00	states/eV per atom

a = 11.9502 Å, b = 11.9502 Å, c = 11.9502 Å
α = 90.00°, β = 90.00°, γ = 90.00°
Closest atoms and distances in Å follow each position.
Space group Fm-3m (No. 225)
Unique sites:
K 0.2500 0.2500 0.2500 (multiplicity 8)  12 I 4.23
Li 0.0000 0.0000 0.0000 (multiplicity 4)  6 I 2.96
Sb 0.0000 0.0000 0.5000 (multiplicity 4)  6 I 3.01
I 0.0000 0.0000 0.2477 (multiplicity 24)  1 Li 2.96, 1 Sb 3.01

***

Arrangement Q

The following is a PBE-GGA calculation of a relaxed structure of K2LiSbI6, from Alexandria.

Output
magnetic moment	0.00	μB/f.u.
crystal system	trigonal
DOS(E_F)	0.00	states/eV per atom

a = 8.4012 Å, b = 8.4012 Å, c = 23.1934 Å
α = 90.00°, β = 90.00°, γ = 120.00°
Closest atoms and distances in Å follow each position.
Space group R3 (No. 146, hexagonal axes)
Unique sites:
K 0.0000 0.0000 0.0000 (multiplicity 3)  6 I 3.52-3.60
K 0.0000 0.0000 0.4982 (multiplicity 3)  6 I 3.61-3.62
Li 0.0000 0.0000 0.2851 (multiplicity 3)  3 I 2.71
Sb 0.0000 0.0000 0.6993 (multiplicity 3)  6 I 2.94-3.24
I 0.0182 0.4040 0.4357 (multiplicity 9)  1 Sb 2.94
I 0.0632 0.7150 0.2772 (multiplicity 9)  1 Li 2.71

***

Most stable structure: arrangement Q

***

Arrangement P

The following is a PBE-GGA calculation of a relaxed structure of KLiTe2I, from Alexandria.

Output
magnetic moment	0.00	μB/f.u.
crystal system	tetragonal
DOS(E_F)	0.96	states/eV per atom

a = 5.0321 Å, b = 5.0321 Å, c = 7.2926 Å
α = 90.00°, β = 90.00°, γ = 90.00°
Closest atoms and distances in Å follow each position.
Space group P4/mmm (No. 123)
Unique sites:
K 0.0000 0.0000 0.0000 (multiplicity 1)  4 I 3.56
Li 0.5000 0.5000 0.5000 (multiplicity 1)  4 Te 2.52
Te 0.0000 0.5000 0.5000 (multiplicity 2)  2 Li 2.52
I 0.5000 0.5000 0.0000 (multiplicity 1)  4 K 3.56, 2 Li 3.65

***

Arrangement Q

The following is a PBE-GGA calculation of a relaxed structure of KLiTe2I, from Alexandria.

Output
magnetic moment	3.00	μB/f.u.
crystal system	tetragonal
DOS(E_F)	1.27	states/eV per atom

a = 6.4388 Å, b = 6.4388 Å, c = 6.4819 Å
α = 90.00°, β = 90.00°, γ = 90.00°
Closest atoms and distances in Å follow each position.
Space group P4/mmm (No. 123)
Unique sites:
K 0.0000 0.0000 0.0000 (multiplicity 1)  4 Te 3.22, 2 I 3.24
Li 0.5000 0.5000 0.5000 (multiplicity 1)  4 I 4.55, 8 Te 4.57
Te 0.0000 0.5000 0.0000 (multiplicity 2)  2 K 3.22
I 0.0000 0.0000 0.5000 (multiplicity 1)  2 K 3.24

***

Most stable structure: arrangement P